Here is a relaxed structure of Pm2ScGa4Pd3 from the Alexandria database. Energies are from PBE.

a b c (Å): 4.1515 4.1515 11.6786
angles (deg): 90.00 90.00 90.00
Positions (direct):
Pm 0.0000 0.5000 0.2366
Pm 0.5000 0.0000 0.7634
Sc 0.0000 0.0000 0.5000
Ga 0.0000 0.0000 0.0000
Ga 0.0000 0.5000 0.6551
Ga 0.5000 0.0000 0.3449
Ga 0.5000 0.5000 0.0000
Pd 0.0000 0.5000 0.8696
Pd 0.5000 0.0000 0.1304
Pd 0.5000 0.5000 0.5000

Properties
Total energy, eV per atom: -5.10
ΔH_f (0 K), eV per atom: -0.746
Magnetic moment, μB/cell: 0.0
Crystal system: tetragonal